Entry 1:
{
  "formula": "Ca4Zn2Ag",
  "functional": "PBE",
  "state": "optimized geometry",
  "volume_a3_per_atom": 28.77,
  "space_group": "I4/mmm, No. 139",
  "rho_g_cm3": 3.29,
  "ef_ev_per_atom": -0.169,
  "total_magnetization_mub_per_cell": 0.0,
  "cell": [[6.0366, 0.0171, -2.1139], [-3.0040, 5.2138, -2.1683], [0.0099, -0.0171, 6.3960]],
  "species": ["Ca", "Ca", "Ca", "Ca", "Zn", "Zn", "Ag"],
  "fractional_positions": [[0.0000, 0.0000, 0.5000], [0.5000, 0.0000, 0.0000], [0.5000, 0.5000, 0.5000], [0.0000, 0.5000, 0.0000], [0.5000, 0.0000, 0.5000], [0.5000, 0.5000, 0.0000], [0.0000, 0.0000, 0.0000]]
}


Entry 2:
{
  "formula": "HfPaSn",
  "functional": "PBE",
  "state": "optimized geometry",
  "volume_a3_per_atom": 24.48,
  "space_group": "P-6m2, No. 187",
  "e_above_lowest_polymorph_mev_per_atom": 234.2,
  "rho_g_cm3": 11.94,
  "ef_ev_per_atom": 0.016,
  "total_magnetization_mub_per_cell": 1.2,
  "cell": [[-3.1256, 0.5450, -0.0773], [-0.1651, -0.2149, 5.1622], [0.8458, 4.5137, -2.3733]],
  "species": ["Sn", "Pa", "Hf"],
  "fractional_positions": [[0.4996, 0.6667, 0.3333], [0.0001, 0.0000, 0.0000], [0.5003, 0.3333, 0.6667]]
}


Entry 3:
{
  "formula": "Nb2AlCdO",
  "functional": "PBE",
  "state": "optimized geometry",
  "volume_a3_per_atom": 24.91,
  "space_group": "P4/mmm, No. 123",
  "rho_g_cm3": 4.55,
  "e_form_raw_ev_per_atom": 1.98,
  "total_magnetization_mub_per_cell": 3.6,
  "cell": [[5.2038, 0.0000, 0.0000], [0.0000, 4.5994, 0.0000], [0.0000, 0.0000, 5.2038]],
  "species": ["O", "Nb", "Nb", "Al", "Cd"],
  "fractional_positions": [[0.5000, 0.5000, 0.5000], [0.0000, 0.0000, 0.5000], [0.5000, 0.0000, 0.0000], [0.0000, 0.5000, 0.0000], [0.0000, 0.0000, 0.0000]]
}